# Pm7InPb2

A relaxed Pm7InPb2 crystal (PBE, Alexandria via LeMat-Bulk).

Output
**Magnetic moment**: 0.38 μB per formula unit
**Formation energy**: -0.212 eV/atom

a = 5.4623 Å, b = 5.4623 Å, c = 12.9426 Å
α = 90.00°, β = 90.00°, γ = 120.00°
Last column: nearest neighbours and their distance in Å.
Fractional coordinates of all 10 atoms:
1 Pm 0.6667 0.3333 0.5941  4 Pb 3.12-3.45, 1 Pm 3.34
2 Pm 0.6667 0.3333 0.8519  8 Pm 3.34-3.58, 3 In 3.66, 3 Pb 3.71
3 Pm 0.0000 0.0000 0.7338  3 Pb 3.18, 1 In 3.39, 3 Pm 3.50
4 Pm 0.0000 0.0000 0.2584  3 Pb 3.38, 1 In 3.40, 3 Pm 3.69
5 Pm 0.3333 0.6667 0.4361  4 Pb 3.33-3.44
6 Pm 0.3333 0.6667 0.9820  3 In 3.16
7 Pm 0.6667 0.3333 0.1103  1 Pb 3.14, 1 Pm 3.35, 3 In 3.48
8 In 0.0000 0.0000 0.9959  8 Pm 3.16-3.48
9 Pb 0.3333 0.6667 0.7015  7 Pm 3.18-3.45
10 Pb 0.6667 0.3333 0.3527  8 Pm 3.12-3.38

# Pm6In6Pb

A relaxed Pm6In6Pb crystal (PBE, Alexandria via LeMat-Bulk).

Output
**Magnetic moment**: 0.01 μB per formula unit
**Formation energy**: -0.346 eV/atom

a = 6.4887 Å, b = 6.4887 Å, c = 10.7688 Å
α = 90.00°, β = 90.00°, γ = 120.00°
Last column: nearest neighbours and their distance in Å.
Fractional coordinates of all 13 atoms:
1 Pm 0.0000 0.0000 0.6965  1 Pb 3.27, 6 In 3.29
2 Pm 0.0000 0.0000 0.3035  1 Pb 3.27, 6 In 3.29
3 Pm 0.3333 0.6667 0.0000  6 In 3.30
4 Pm 0.6667 0.3333 0.0000  6 In 3.30
5 Pm 0.3333 0.6667 0.5000  6 In 3.26
6 Pm 0.6667 0.3333 0.5000  6 In 3.26
7 In 0.0000 0.5000 0.7475  4 In 3.24, 6 Pm 3.26-3.30
8 In 0.5000 0.0000 0.7475  4 In 3.24, 6 Pm 3.26-3.30
9 In 0.5000 0.5000 0.7475  4 In 3.24, 6 Pm 3.26-3.30
10 In 0.5000 0.0000 0.2525  4 In 3.24, 6 Pm 3.26-3.30
11 In 0.0000 0.5000 0.2525  4 In 3.24, 6 Pm 3.26-3.30
12 In 0.5000 0.5000 0.2525  4 In 3.24, 6 Pm 3.26-3.30
13 Pb 0.0000 0.0000 0.0000  2 Pm 3.27

# Pm2InPb

A relaxed Pm2InPb crystal (PBE, Alexandria via LeMat-Bulk).

Output
**Magnetic moment**: 0.00 μB per formula unit
**Formation energy**: -0.498 eV/atom

a = 4.4619 Å, b = 5.1052 Å, c = 5.1052 Å
α = 90.00°, β = 90.00°, γ = 90.00°
Last column: nearest neighbours and their distance in Å.
Fractional coordinates of all 4 atoms:
1 Pb 0.5000 0.0000 0.0000  8 Pm 3.39, 4 In 3.61
2 In 0.5000 0.5000 0.5000  8 Pm 3.39, 4 Pb 3.61
3 Pm 0.0000 0.0000 0.5000  4 In 3.39, 4 Pb 3.39, 4 Pm 3.61
4 Pm 0.0000 0.5000 0.0000  4 In 3.39, 4 Pb 3.39, 4 Pm 3.61

# Pm2In3Pb3

A relaxed Pm2In3Pb3 crystal (PBE, Alexandria via LeMat-Bulk).

Output
**Magnetic moment**: 0.00 μB per formula unit
**Formation energy**: -0.399 eV/atom

a = 4.9487 Å, b = 4.7552 Å, c = 9.4510 Å
α = 90.00°, β = 90.00°, γ = 90.00°
Last column: nearest neighbours and their distance in Å.
Fractional coordinates of all 8 atoms:
1 Pm 0.0000 0.0000 0.7527  6 Pb 3.33-3.44, 6 In 3.40-3.43
2 Pm 0.0000 0.0000 0.2473  6 Pb 3.33-3.44, 6 In 3.40-3.43
3 In 0.5000 0.5000 0.7581  2 In 3.30, 6 Pb 3.37-3.47, 4 Pm 3.43
4 In 0.5000 0.5000 0.2419  2 In 3.30, 6 Pb 3.37-3.47, 4 Pm 3.43
5 In 0.5000 0.0000 0.0000  4 In 3.30, 4 Pm 3.40, 4 Pb 3.43
6 Pb 0.5000 0.0000 0.5000  4 In 3.41, 4 Pb 3.43, 4 Pm 3.44
7 Pb 0.0000 0.5000 0.0000  4 Pm 3.33, 8 In 3.37-3.43
8 Pb 0.0000 0.5000 0.5000  4 Pm 3.37, 4 Pb 3.43, 4 In 3.47

# Pm8InPb6

A relaxed Pm8InPb6 crystal (PBE, Alexandria via LeMat-Bulk).

Output
**Magnetic moment**: 0.00 μB per formula unit
**Formation energy**: -0.422 eV/atom

a = 9.4781 Å, b = 9.4781 Å, c = 8.5247 Å
α = 56.23°, β = 56.23°, γ = 60.00°
Last column: nearest neighbours and their distance in Å.
Fractional coordinates of all 15 atoms:
1 Pm 0.6234 0.1898 0.2885  5 Pb 3.16-3.43, 1 In 3.28
2 Pm 0.8102 0.1018 0.7115  5 Pb 3.16-3.43, 1 In 3.28
3 Pm 0.1018 0.3766 0.7115  5 Pb 3.16-3.43, 1 In 3.28
4 Pm 0.6677 0.6677 0.9969  6 Pb 3.32-3.37
5 Pm 0.3323 0.3323 0.0031  6 Pb 3.32-3.37
6 Pm 0.8982 0.6234 0.2885  5 Pb 3.16-3.43, 1 In 3.28
7 Pm 0.1898 0.8982 0.2885  5 Pb 3.16-3.43, 1 In 3.28
8 Pm 0.3766 0.8102 0.7115  5 Pb 3.16-3.43, 1 In 3.28
9 In 0.0000 0.0000 0.0000  6 Pm 3.28
10 Pb 0.4429 0.0716 0.7777  7 Pm 3.16-3.43
11 Pb 0.9284 0.2922 0.2223  7 Pm 3.16-3.43
12 Pb 0.2922 0.5571 0.2223  7 Pm 3.16-3.43
13 Pb 0.7078 0.4429 0.7777  7 Pm 3.16-3.43
14 Pb 0.0716 0.7078 0.7777  7 Pm 3.16-3.43
15 Pb 0.5571 0.9284 0.2223  7 Pm 3.16-3.43

# Pm4InPb3

A relaxed Pm4InPb3 crystal (PBE, Alexandria via LeMat-Bulk).

Output
**Magnetic moment**: 0.00 μB per formula unit
**Formation energy**: -0.469 eV/atom

a = 5.8399 Å, b = 5.8403 Å, c = 8.0997 Å
α = 111.41°, β = 111.13°, γ = 90.00°
Last column: nearest neighbours and their distance in Å.
Fractional coordinates of all 8 atoms:
1 Pb 0.0000 0.5000 0.0000  8 Pm 3.40-3.42, 2 Pb 3.55
2 Pb 0.7449 0.2450 0.4898  8 Pm 3.34-3.43, 1 In 3.41, 1 Pb 3.55
3 Pb 0.2551 0.7550 0.5102  8 Pm 3.34-3.43, 1 In 3.41, 1 Pb 3.55
4 In 0.5000 0.0000 0.0000  8 Pm 3.40-3.42, 2 Pb 3.41
5 Pm 0.3735 0.3734 0.7470  6 Pb 3.34-3.42, 2 In 3.40-3.42, 2 Pm 3.43-3.52
6 Pm 0.6265 0.6266 0.2530  6 Pb 3.34-3.42, 2 In 3.40-3.42, 2 Pm 3.43-3.52
7 Pm 0.1265 0.1264 0.2530  6 Pb 3.35-3.43, 2 In 3.41, 2 Pm 3.43-3.52
8 Pm 0.8735 0.8736 0.7470  6 Pb 3.35-3.43, 2 In 3.41, 2 Pm 3.43-3.52

# Pm2InPb

A relaxed Pm2InPb crystal (PBE, Alexandria via LeMat-Bulk).

Output
**Magnetic moment**: 0.00 μB per formula unit
**Formation energy**: -0.525 eV/atom

a = 4.7040 Å, b = 4.4401 Å, c = 6.3590 Å
α = 90.00°, β = 111.71°, γ = 90.00°
Last column: nearest neighbours and their distance in Å.
Fractional coordinates of all 4 atoms:
1 Pm 0.8094 0.5000 0.6187  3 In 3.24-3.56, 4 Pb 3.29
2 Pm 0.0812 0.0000 0.1625  3 Pb 3.27-3.53, 4 In 3.28
3 In 0.5356 0.5000 0.0711  2 Pb 3.05, 5 Pm 3.24-3.28
4 Pb 0.3584 0.0000 0.7168  2 In 3.05, 5 Pm 3.27-3.29

# PmIn6Pb

A relaxed PmIn6Pb crystal (PBE, Alexandria via LeMat-Bulk).

Output
**Magnetic moment**: 0.00 μB per formula unit
**Formation energy**: -0.158 eV/atom

a = 4.5631 Å, b = 6.8997 Å, c = 6.8997 Å
α = 90.01°, β = 90.00°, γ = 90.00°
Last column: nearest neighbours and their distance in Å.
Fractional coordinates of all 8 atoms:
1 Pm 0.5000 0.0000 0.0000  12 In 3.34-3.45
2 In 0.0000 0.7498 0.2502  2 Pb 3.34, 8 In 3.34-3.45, 2 Pm 3.34
3 In 0.0000 0.2502 0.7498  2 Pb 3.34, 8 In 3.34-3.45, 2 Pm 3.34
4 In 0.0000 0.7498 0.7498  2 Pb 3.34, 8 In 3.34-3.45, 2 Pm 3.34
5 In 0.0000 0.2502 0.2502  2 Pb 3.34, 8 In 3.34-3.45, 2 Pm 3.34
6 In 0.5000 0.5000 0.0000  8 In 3.34, 2 Pm 3.45, 2 Pb 3.45
7 In 0.5000 0.0000 0.5000  8 In 3.34, 2 Pb 3.45, 2 Pm 3.45
8 Pb 0.5000 0.5000 0.5000  12 In 3.34-3.45

# Pm6In2Pb3

A relaxed Pm6In2Pb3 crystal (PBE, Alexandria via LeMat-Bulk).

Output
**Magnetic moment**: 0.00 μB per formula unit
**Formation energy**: -0.093 eV/atom

a = 5.9554 Å, b = 5.9554 Å, c = 11.8501 Å
α = 104.55°, β = 104.55°, γ = 90.00°
Last column: nearest neighbours and their distance in Å.
Fractional coordinates of all 11 atoms:
1 Pm 0.0853 0.5853 0.1706  2 In 3.02
2 Pm 0.5853 0.0853 0.1706  2 In 3.02
3 Pm 0.9147 0.4147 0.8294  2 In 3.02
4 Pm 0.4147 0.9147 0.8294  2 In 3.02
5 Pm 0.6997 0.6997 0.3993  1 In 3.02, 1 Pb 3.15
6 Pm 0.3003 0.3003 0.6007  1 In 3.02, 1 Pb 3.15
7 In 0.4367 0.4367 0.8735  1 In 2.80, 5 Pm 3.02
8 In 0.5633 0.5633 0.1265  1 In 2.80, 5 Pm 3.02
9 Pb 0.0000 0.0000 0.0000  2 Pb 3.50, 8 Pm 3.53
10 Pb 0.8419 0.8419 0.6839  5 Pm 3.15-3.39, 1 Pb 3.50
11 Pb 0.1581 0.1581 0.3161  5 Pm 3.15-3.39, 1 Pb 3.50

# Pm3InPb2

A relaxed Pm3InPb2 crystal (PBE, Alexandria via LeMat-Bulk).

Output
**Magnetic moment**: 0.00 μB per formula unit
**Formation energy**: -0.493 eV/atom

a = 3.5825 Å, b = 3.5825 Å, c = 13.6767 Å
α = 90.00°, β = 90.00°, γ = 90.00°
Last column: nearest neighbours and their distance in Å.
Fractional coordinates of all 6 atoms:
1 Pm 0.0000 0.0000 0.0000  8 Pb 3.43, 4 Pm 3.58
2 Pm 0.0000 0.0000 0.6597  4 In 3.34, 4 Pb 3.45, 4 Pm 3.58
3 Pm 0.0000 0.0000 0.3403  4 In 3.34, 4 Pb 3.45, 4 Pm 3.58
4 In 0.5000 0.5000 0.5000  8 Pm 3.34, 4 In 3.58
5 Pb 0.5000 0.5000 0.8310  8 Pm 3.43-3.45, 4 Pb 3.58
6 Pb 0.5000 0.5000 0.1690  8 Pm 3.43-3.45, 4 Pb 3.58

# Pm5In4Pb

A relaxed Pm5In4Pb crystal (PBE, Alexandria via LeMat-Bulk).

Output
**Magnetic moment**: 0.00 μB per formula unit
**Formation energy**: -0.484 eV/atom

a = 3.8136 Å, b = 3.8136 Å, c = 19.8362 Å
α = 90.00°, β = 90.00°, γ = 90.00°
Last column: nearest neighbours and their distance in Å.
Fractional coordinates of all 10 atoms:
1 Pm 0.5000 0.5000 0.1043  4 In 3.36, 4 Pb 3.40
2 Pm 0.5000 0.5000 0.3034  8 In 3.32-3.33
3 Pm 0.5000 0.5000 0.5000  8 In 3.32
4 Pm 0.5000 0.5000 0.6966  8 In 3.32-3.33
5 Pm 0.5000 0.5000 0.8957  4 In 3.36, 4 Pb 3.40
6 In 0.0000 0.0000 0.2056  8 Pm 3.32-3.36
7 In 0.0000 0.0000 0.4023  8 Pm 3.32-3.33
8 In 0.0000 0.0000 0.5977  8 Pm 3.32-3.33
9 In 0.0000 0.0000 0.7944  8 Pm 3.32-3.36
10 Pb 0.0000 0.0000 0.0000  8 Pm 3.40

# Pm5InPb2

A relaxed Pm5InPb2 crystal (PBE, Alexandria via LeMat-Bulk).

Output
**Magnetic moment**: 0.94 μB per formula unit
**Formation energy**: -0.430 eV/atom

a = 8.4463 Å, b = 8.4463 Å, c = 9.2976 Å
α = 117.01°, β = 117.01°, γ = 90.00°
Last column: nearest neighbours and their distance in Å.
Fractional coordinates of all 16 atoms:
1 Pm 0.5102 0.6871 0.6973  3 Pb 3.20-3.34, 2 In 3.47, 1 Pm 3.52
2 Pm 0.8129 0.9898 0.3027  3 Pb 3.20-3.34, 2 In 3.47, 1 Pm 3.52
3 Pm 0.0000 0.0000 0.0000  4 Pb 3.26, 2 In 3.56
4 Pm 0.5000 0.5000 0.0000  4 Pb 3.26, 2 In 3.56
5 Pm 0.1871 0.0102 0.6973  3 Pb 3.20-3.34, 2 In 3.47, 1 Pm 3.52
6 Pm 0.6871 0.1871 0.6973  3 Pb 3.20-3.34, 2 In 3.47, 1 Pm 3.52
7 Pm 0.0102 0.5102 0.6973  3 Pb 3.20-3.34, 2 In 3.47, 1 Pm 3.52
8 Pm 0.3129 0.8129 0.3027  3 Pb 3.20-3.34, 2 In 3.47, 1 Pm 3.52
9 Pm 0.9898 0.4898 0.3027  3 Pb 3.20-3.34, 2 In 3.47, 1 Pm 3.52
10 Pm 0.4898 0.3129 0.3027  3 Pb 3.20-3.34, 2 In 3.47, 1 Pm 3.52
11 In 0.7500 0.7500 0.5000  10 Pm 3.47-3.56
12 In 0.2500 0.2500 0.5000  10 Pm 3.47-3.56
13 Pb 0.1401 0.3599 0.0000  8 Pm 3.20-3.34, 1 Pb 3.35
14 Pb 0.6401 0.1401 0.0000  8 Pm 3.20-3.34, 1 Pb 3.35
15 Pb 0.3599 0.8599 0.0000  8 Pm 3.20-3.34, 1 Pb 3.35
16 Pb 0.8599 0.6401 0.0000  8 Pm 3.20-3.34, 1 Pb 3.35

Question: What is the magnetic moment in the fourth record?
Answer: 0.00 μB per formula unit

Question: Look up the magnetic moment of the ninth one.
Answer: 0.00 μB per formula unit

Question: Which of these has the highest magnetic moment?
Answer: Pm5InPb2